Entry 1:
The following is a GGA-PBE calculation of Li2CdAgH after structural relaxation, from the Alexandria database.

The value obtained for the offset from the most stable computed form is 0.030 eV per atom. Its total moment is 0.0 μB per cell.

The space group is P4/mmm (No. 123) and the conventional cell measures 4.086, 4.086 and 4.308 Å, with angles of 90.00, 90.00 and 90.00 degrees. Symmetry generates all atoms from Li at (0.000, 0.500, 0.000), Cd at (0.000, 0.000, 0.500), Ag at (0.500, 0.500, 0.500) and H at (0.000, 0.000, 0.000).

***

Entry 2:
The following is a GGA-PBE calculation of MgCdAg2H after structural relaxation, from the Alexandria database.

Its total energy is -11.338 eV per cell. Its total moment is 0.0 μB per cell.

The space group is P4/mmm (No. 123) and the conventional cell measures 4.368, 4.368 and 4.113 Å, with angles of 90.00, 90.00 and 90.00 degrees. Symmetry generates all atoms from Mg at (0.000, 0.000, 0.000), Cd at (0.500, 0.500, 0.000), Ag at (0.000, 0.500, 0.500) and H at (0.000, 0.000, 0.500).

***

Entry 3:
The following is a GGA-PBE calculation of Mg2CdAgH after structural relaxation, from the Alexandria database.

The value obtained for the offset from the most stable computed form is 0.023 eV per atom. Its total moment is 0.0 μB per cell.

The space group is P4/mmm (No. 123) and the conventional cell measures 4.348, 4.348 and 4.375 Å, with angles of 90.00, 90.00 and 90.00 degrees. Symmetry generates all atoms from Mg at (0.000, 0.500, 0.000), Cd at (0.000, 0.000, 0.500), Ag at (0.500, 0.500, 0.500) and H at (0.000, 0.000, 0.000).

***

What is the formula in the third record?
Mg2CdAgH